# BiB3N, relaxed, DFT PBE-GGA
data_BiB3N
_chemical_formula_sum 'Bi1 B3 N1'
_symmetry_space_group_name_H-M 'P 1'
_symmetry_Int_Tables_number 1
_cell_length_a 4.665
_cell_length_b 4.665
_cell_length_c 4.665
_cell_angle_alpha 90.00
_cell_angle_beta 90.00
_cell_angle_gamma 90.00
loop_
_symmetry_equiv_pos_as_xyz
'x,y,z'
loop_
_atom_site_label
_atom_site_type_symbol
_atom_site_fract_x
_atom_site_fract_y
_atom_site_fract_z
B1 B 0.000 0.500 0.000
B2 B 0.000 0.000 0.500
B3 B 0.500 0.000 0.000
Bi1 Bi 0.000 0.000 0.000
N1 N 0.500 0.500 0.500
# Energy relative to the lowest polymorph listed for this composition in meV per atom: 1564
# Total magnetic moment in μB per formula unit: 0.00
# Symmetry: No. 221